AcU2CoO8: relaxed, PBE+U.

Values from the calculation:
As for the total energy: -105.6 eV per formula unit. The density of states at the Fermi level is 5.88 states/eV/f.u.

Cell: 5.113 5.147 7.079 Å, 90.00 90.00 85.82°
Fractional positions:
1 Co 0.000 0.000 0.000
2 O 0.208 0.790 0.219
3 O 0.323 0.323 0.000
4 O 0.332 0.330 0.500
5 O 0.677 0.677 0.000
6 O 0.208 0.790 0.781
7 O 0.792 0.210 0.219
8 O 0.792 0.210 0.781
9 O 0.668 0.670 0.500
10 U 0.500 0.500 0.761
11 U 0.500 0.500 0.239
12 Ac 0.000 0.000 0.500